PBE RbSr2SbO, relaxed; formation energy without anion corrections = -1399 meV/atom; D(E_F) = 0.08 states/eV per cell; V = 29.1 Å³/atom; ΔE to the lowest computed polymorph = 0 meV/atom; crystal system = tetragonal
1.0
5.213 0.000 0.000
0.000 5.213 0.000
0.000 0.000 5.347
Rb Sr Sb O
1 2 1 1
direct
0.000 0.000 0.000 Rb
0.000 0.500 0.500 Sr
0.500 0.000 0.500 Sr
0.500 0.500 0.000 Sb
0.000 0.000 0.500 O


PBE KReSe2, relaxed; formation energy without anion corrections = -37 meV/atom; D(E_F) = 1.95 states/eV per cell; V = 23.7 Å³/atom; ΔE to the lowest computed polymorph = 227 meV/atom; crystal system = orthorhombic
1.0
3.311 0.000 0.000
0.000 3.734 0.000
0.000 0.000 7.681
K Re Se
1 1 2
direct
0.000 0.000 0.000 K
0.500 0.000 0.500 Re
0.500 0.500 0.287 Se
0.500 0.500 0.713 Se


- Among the records above, which one has the lowest V?
  KReSe2